Here is a geometry-optimized Zr2InSb structure from Alexandria. Energies are from PBE-GGA.

Results
SG = No. 119
crystal system = tetragonal
ΔE_f (raw) = -0.3806 eV/atom
final energy = -6.37 eV/atom
density of states at the Fermi level = 2.5 states/eV per cell

a = 5.783 Å, b = 5.783 Å, c = 5.783 Å
α = 136.57°, β = 136.57°, γ = 63.10°
Fractional positions:
1 Zr 0.000 0.000 0.000
2 Zr 0.750 0.250 0.500
3 In 0.500 0.500 0.000
4 Sb 0.250 0.750 0.500

Here is a geometry-optimized Zr2TaTl structure from Alexandria. Energies are from PBE-GGA.

Results
SG = No. 166
crystal system = trigonal
formation energy from the elements = 0.114 eV per atom
final energy = -7.72 eV/atom
density of states at the Fermi level = 3.8 states/eV per cell

a = 10.144 Å, b = 10.144 Å, c = 10.144 Å
α = 18.30°, β = 18.30°, γ = 18.30°
Fractional positions:
1 Zr 0.246 0.246 0.246
2 Zr 0.754 0.754 0.754
3 Ta 0.500 0.500 0.500
4 Tl 0.000 0.000 0.000

Here is a geometry-optimized Dy8CoOs2 structure from Alexandria. Energies are from PBE-GGA.

Results
SG = No. 8
crystal system = monoclinic
formation energy from the elements = -0.106 eV per atom
final energy = -6.14 eV/atom
density of states at the Fermi level = 10.2 states/eV per cell

a = 7.503 Å, b = 7.503 Å, c = 5.885 Å
α = 100.97°, β = 100.97°, γ = 112.23°
Fractional positions:
1 Dy 0.000 0.000 0.000
2 Dy 0.028 0.286 0.587
3 Dy 0.151 0.568 0.200
4 Dy 0.286 0.028 0.587
5 Dy 0.442 0.703 0.793
6 Dy 0.568 0.151 0.200
7 Dy 0.703 0.442 0.793
8 Dy 0.716 0.716 0.388
9 Co 0.355 0.355 0.345
10 Os 0.053 0.674 0.686
11 Os 0.674 0.053 0.686

Here is a geometry-optimized TiBe structure from Alexandria. Energies are from PBE-GGA.

Results
SG = No. 70
crystal system = orthorhombic
formation energy from the elements = 0.129 eV per atom
final energy = -5.68 eV/atom
density of states at the Fermi level = 5.8 states/eV per cell

a = 5.944 Å, b = 5.519 Å, c = 4.873 Å
α = 69.46°, β = 60.40°, γ = 50.14°
Fractional positions:
1 Ti 0.067 0.683 0.067
2 Ti 0.317 0.933 0.317
3 Ti 0.683 0.067 0.683
4 Ti 0.933 0.317 0.933
5 Be 0.212 0.538 0.538
6 Be 0.462 0.788 0.788
7 Be 0.538 0.212 0.212
8 Be 0.788 0.462 0.462

Here is a geometry-optimized ErThSn structure from Alexandria. Energies are from PBE-GGA.

Results
SG = No. 107
crystal system = tetragonal
formation energy from the elements = -0.304 eV per atom
final energy = -5.63 eV/atom
density of states at the Fermi level = 3.5 states/eV per cell

a = 7.009 Å, b = 7.009 Å, c = 7.009 Å
α = 149.36°, β = 149.36°, γ = 43.89°
Fractional positions:
1 Er 0.000 0.000 0.000
2 Th 0.691 0.691 0.000
3 Sn 0.354 0.354 0.000

Here is a geometry-optimized NaTb2TmS4 structure from Alexandria. Energies are from PBE-GGA.

Results
SG = No. 10
crystal system = monoclinic
ΔE_f (raw) = -1.9085 eV/atom
final energy = -5.85 eV/atom
density of states at the Fermi level = 2.5 states/eV per cell

a = 6.802 Å, b = 3.901 Å, c = 6.802 Å
α = 90.00°, β = 109.10°, γ = 90.00°
Fractional positions:
1 Na 0.000 0.000 0.000
2 Tb 0.500 0.000 0.500
3 Tb 0.500 0.500 0.000
4 Tm 0.000 0.500 0.500
5 S 0.244 0.000 0.745
6 S 0.251 0.500 0.256
7 S 0.749 0.500 0.744
8 S 0.756 0.000 0.255

Here is a geometry-optimized ZnCu2Pb2 structure from Alexandria. Energies are from PBE-GGA.

Results
SG = No. 127
crystal system = tetragonal
formation energy from the elements = 0.190 eV per atom
final energy = -3.19 eV/atom
density of states at the Fermi level = 3.8 states/eV per cell

a = 6.865 Å, b = 6.865 Å, c = 4.324 Å
α = 90.00°, β = 90.00°, γ = 90.00°
Fractional positions:
1 Zn 0.000 0.000 0.000
2 Zn 0.500 0.500 0.000
3 Cu 0.132 0.368 0.000
4 Cu 0.368 0.868 0.000
5 Cu 0.632 0.132 0.000
6 Cu 0.868 0.632 0.000
7 Pb 0.174 0.674 0.500
8 Pb 0.326 0.174 0.500
9 Pb 0.674 0.826 0.500
10 Pb 0.826 0.326 0.500

Here is a geometry-optimized La2PW structure from Alexandria. Energies are from PBE-GGA.

Results
SG = No. 119
crystal system = tetragonal
formation energy from the elements = 0.222 eV per atom
final energy = -6.83 eV/atom
density of states at the Fermi level = 5.3 states/eV per cell

a = 5.801 Å, b = 5.801 Å, c = 5.801 Å
α = 135.73°, β = 135.73°, γ = 64.40°
Fractional positions:
1 La 0.000 0.000 0.000
2 La 0.750 0.250 0.500
3 P 0.500 0.500 0.000
4 W 0.250 0.750 0.500

Here is a geometry-optimized Cr3MoW structure from Alexandria. Energies are from PBE-GGA.

Results
SG = No. 11
crystal system = monoclinic
formation energy from the elements = 0.412 eV per atom
final energy = -10.12 eV/atom
density of states at the Fermi level = 10.8 states/eV per cell

a = 4.368 Å, b = 4.928 Å, c = 6.733 Å
α = 90.00°, β = 106.84°, γ = 90.00°
Fractional positions:
1 Cr 0.107 0.250 0.249
2 Cr 0.309 0.025 0.601
3 Cr 0.309 0.475 0.601
4 Cr 0.691 0.525 0.399
5 Cr 0.691 0.975 0.399
6 Cr 0.893 0.750 0.751
7 Mo 0.497 0.750 0.967
8 Mo 0.503 0.250 0.033
9 W 0.100 0.750 0.201
10 W 0.900 0.250 0.799

Here is a geometry-optimized PIrOsC2 structure from Alexandria. Energies are from PBE-GGA.

Results
SG = No. 123
crystal system = tetragonal
formation energy from the elements = 2.133 eV per atom
final energy = -6.66 eV/atom
density of states at the Fermi level = 6.3 states/eV per cell

a = 3.611 Å, b = 3.611 Å, c = 4.875 Å
α = 90.00°, β = 90.00°, γ = 90.00°
Fractional positions:
1 P 0.000 0.000 0.000
2 Ir 0.500 0.500 0.500
3 Os 0.000 0.000 0.500
4 C 0.000 0.500 0.000
5 C 0.500 0.000 0.000

Here is a geometry-optimized Tm3Pb2N structure from Alexandria. Energies are from PBE-GGA.

Results
SG = No. 65
crystal system = orthorhombic
ΔE_f (raw) = -0.6413 eV/atom
final energy = -5.50 eV/atom
density of states at the Fermi level = 4.2 states/eV per cell

a = 8.107 Å, b = 8.107 Å, c = 3.384 Å
α = 90.00°, β = 90.00°, γ = 137.56°
Fractional positions:
1 Tm 0.000 0.000 0.000
2 Tm 0.398 0.602 0.500
3 Tm 0.602 0.398 0.500
4 Pb 0.184 0.816 0.500
5 Pb 0.816 0.184 0.500
6 N 0.500 0.500 0.000

Here is a geometry-optimized YSBr structure from Alexandria. Energies are from PBE-GGA.

Results
SG = No. 12
crystal system = monoclinic
ΔE_f (raw) = -1.8754 eV/atom
final energy = -5.96 eV/atom
density of states at the Fermi level = 0.0 states/eV per cell

a = 7.393 Å, b = 7.393 Å, c = 7.083 Å
α = 91.35°, β = 91.35°, γ = 31.88°
Fractional positions:
1 Y 0.000 0.000 0.000
2 Y 0.500 0.500 0.500
3 S 0.091 0.091 0.682
4 S 0.909 0.909 0.318
5 Br 0.378 0.378 0.836
6 Br 0.622 0.622 0.164

Which of these has the lowest density of states at the Fermi level?
YSBr

Look up the density of states at the Fermi level of the eleventh one.
4.2 states/eV per cell

Please write out number 8 again, unchanged.
Here is a geometry-optimized La2PW structure from Alexandria. Energies are from PBE-GGA.

Results
SG = No. 119
crystal system = tetragonal
formation energy from the elements = 0.222 eV per atom
final energy = -6.83 eV/atom
density of states at the Fermi level = 5.3 states/eV per cell

a = 5.801 Å, b = 5.801 Å, c = 5.801 Å
α = 135.73°, β = 135.73°, γ = 64.40°
Fractional positions:
1 La 0.000 0.000 0.000
2 La 0.750 0.250 0.500
3 P 0.500 0.500 0.000
4 W 0.250 0.750 0.500

Which formula does entry 4 have?
TiBe